No. 1
Here is an optimized crystal structure of K3Ce3BiSe8 from Alexandria. Energies are from PBE.

**Energy relative to the elements, uncorrected**: -1469 meV/atom
**Total moment**: 6.0 Bohr magnetons per cell

Cell: 8.6381 8.6381 23.1996 Å, 90.00 90.00 120.00°
Space group R-3m (No. 166, hexagonal axes)
Inequivalent atoms, fractional coordinates:
K 0.0000 0.5000 0.0000 x9
Ce 0.0000 0.5000 0.5000 x9
Bi 0.0000 0.0000 0.5000 x3
Se 0.0000 0.0000 0.2360 x6
Se 0.0038 0.5019 0.7651 x18

No. 2
Here is an optimized crystal structure of AcCeSm from Alexandria. Energies are from PBE.

**Formation energy from the elements**: 0.157 eV/atom
**Total moment**: 3.9 Bohr magnetons per cell
**Excess energy over the best structure of this formula in the dataset**: 40 meV per atom

Cell: 12.399 5.735 6.095 Å, 90.00 90.00 90.00°
Space group Pnma (No. 62)
Inequivalent atoms, fractional coordinates:
Ac 0.250 0.250 0.012 x4
Ce 0.051 0.250 0.440 x4
Sm 0.068 0.750 0.057 x4